Record 1
Material: Ca2InTe
Method: DFT, GGA-PBE
State: relaxed

Unit cell a=5.536 b=5.536 c=5.536 alpha=60.00 beta=60.00 gamma=60.00
Atoms (fractional coordinates):
Ca 0.250 0.250 0.250
Ca 0.750 0.750 0.750
Te 0.500 0.500 0.500
In 0.000 0.000 0.000

Properties
N(E_F)   3.486 states/eV/f.u.
V   30.0 A^3/atom
Energy relative to the elements, uncorrected   -654 meV/atom
Raw total energy   -3.125 eV per atom



Record 2
Material: HfRuN2O
Method: DFT, GGA-PBE
State: relaxed

Unit cell a=4.195 b=4.195 c=3.984 alpha=90.00 beta=90.00 gamma=90.00
Atoms (fractional coordinates):
Ru 0.500 0.500 0.500
Hf 0.000 0.000 0.000
O 0.000 0.000 0.500
N 0.000 0.500 0.000
N 0.500 0.000 0.000

Properties
N(E_F)   4.919 states/eV/f.u.
V   14.0 A^3/atom
Energy relative to the elements, uncorrected   302 meV/atom
Raw total energy   -7.865 eV per atom